--- P ---
DFT (PBE) results for Ti5VGa6 after structural relaxation.

Structure (CIF):
```
data_Ti5VGa6
_cell_length_a 8.985
_cell_length_b 8.476
_cell_length_c 5.161
_cell_angle_alpha 90.00
_cell_angle_beta 98.22
_cell_angle_gamma 90.00
_space_group_name_H-M_alt 'C 1 2/m 1'
_space_group_IT_number 12
_space_group_name_Hall '-C 2y'
loop_
_atom_site_label
_atom_site_fract_x
_atom_site_fract_y
_atom_site_fract_z
Ti1 0.000 0.000 0.000
Ti2 0.000 0.173 0.500
Ti3 0.000 0.336 0.000
V1 0.000 0.500 0.500
Ga1 0.248 0.337 0.750
Ga2 0.249 0.500 0.263
```

--- Q ---
DFT (PBE) results for Ti5VGa6 after structural relaxation.

Structure (CIF):
```
data_Ti5VGa6
_cell_length_a 3.946
_cell_length_b 7.933
_cell_length_c 11.811
_cell_angle_alpha 90.00
_cell_angle_beta 90.00
_cell_angle_gamma 90.00
_space_group_name_H-M_alt 'I m m m'
_space_group_IT_number 71
_space_group_name_Hall '-I 2 2'
loop_
_atom_site_label
_atom_site_fract_x
_atom_site_fract_y
_atom_site_fract_z
Ti1 0.000 0.000 0.000
Ti2 0.000 0.000 0.338
Ti3 0.000 0.500 0.333
V1 0.000 0.500 0.000
Ga1 0.000 0.249 0.500
Ga2 0.000 0.251 0.166
```

Stability comparison, relative energies in kJ/mol of atoms: P 18.0; Q 0.0

--- P ---
DFT (PBE) results for TiVGa after structural relaxation.

Structure (CIF):
```
data_TiVGa
_cell_length_a 4.574
_cell_length_b 8.684
_cell_length_c 4.544
_cell_angle_alpha 90.00
_cell_angle_beta 90.00
_cell_angle_gamma 90.00
_space_group_name_H-M_alt 'C m c m'
_space_group_IT_number 63
_space_group_name_Hall '-C 2c 2'
loop_
_atom_site_label
_atom_site_fract_x
_atom_site_fract_y
_atom_site_fract_z
Ti1 0.000 0.087 0.250
V1 0.000 0.424 0.250
Ga1 0.000 0.252 0.750
```

--- Q ---
DFT (PBE) results for TiVGa after structural relaxation.

Structure (CIF):
```
data_TiVGa
_cell_length_a 3.155
_cell_length_b 3.155
_cell_length_c 9.144
_cell_angle_alpha 90.00
_cell_angle_beta 90.00
_cell_angle_gamma 90.00
_space_group_name_H-M_alt 'P 4/n m m'
_space_group_IT_number 129
loop_
_space_group_symop_operation_xyz
'x,y,z'
'-x,-y,-z'
'-y+1/2,x,z'
'y+1/2,-x,-z'
'-x+1/2,-y+1/2,z'
'x+1/2,y+1/2,-z'
'y,-x+1/2,z'
'-y,x+1/2,-z'
'x+1/2,-y,-z'
'-x+1/2,y,z'
'-y,-x,-z'
'y,x,z'
'-x,y+1/2,-z'
'x,-y+1/2,z'
'y+1/2,x+1/2,-z'
'-y+1/2,-x+1/2,z'
loop_
_atom_site_label
_atom_site_fract_x
_atom_site_fract_y
_atom_site_fract_z
Ti1 0.250 0.250 0.092
V1 0.250 0.250 0.432
Ga1 0.250 0.250 0.728
```

Stability comparison, relative energies in kJ/mol of atoms: P 3.2; Q 0.0